# 1
## BCl2O (PBE-GGA)

Data for crystalline BCl2O at its relaxed geometry.

Computed properties:
energy above the most stable polymorph in this dataset = 1.147 eV/atom
total magnetization = 2.0 Bohr magnetons per cell
formation energy from raw total energies = 1620 meV per atom
raw total energy = -2.212 eV per atom
density of states at the Fermi level = 0.825 states/eV per atom
V = 58 Å³ per cell

Cell: 4.336 4.336 4.336 Å, 60.00 60.00 60.00°
Site moments in Bohr magnetons follow the coordinates.
Sites, in units of the cell vectors:
B  0.000  0.000  0.000  -0.01
O  0.500  0.500  0.500  1.30
Cl  0.250  0.250  0.250  0.23
Cl  0.750  0.750  0.750  0.23

# 2
## Mn5CuS8 (PBE-GGA)

Data for crystalline Mn5CuS8 at its relaxed geometry.

Computed properties:
total magnetization = 8.1 Bohr magnetons per cell
formation energy from raw total energies = -492 meV per atom
raw total energy = -6.418 eV per atom
density of states at the Fermi level = 0.187 states/eV per atom
V = 221 Å³ per cell

Cell: 6.791 6.791 6.791 Å, 60.00 60.00 60.00°
Site moments in Bohr magnetons follow the coordinates.
Sites, in units of the cell vectors:
Mn  0.000  0.000  0.000  3.67
Mn  0.610  0.610  0.170  1.12
Mn  0.610  0.610  0.610  1.12
Mn  0.170  0.610  0.610  1.12
Mn  0.610  0.170  0.610  1.12
Cu  0.250  0.250  0.250  -0.06
S  0.380  0.859  0.380  -0.04
S  0.859  0.380  0.380  -0.04
S  0.380  0.380  0.380  -0.04
S  0.380  0.380  0.859  -0.04
S  0.862  0.862  0.414  -0.08
S  0.414  0.862  0.862  -0.08
S  0.862  0.862  0.862  -0.08
S  0.862  0.414  0.862  -0.08

# 3
## PrSmDyY2 (PBE-GGA)

Data for crystalline PrSmDyY2 at its relaxed geometry.

Computed properties:
total magnetization = 0.0 Bohr magnetons per cell
raw total energy = -5.026 eV per atom
density of states at the Fermi level = 1.618 states/eV per atom
V = 356 Å³ per cell

Cell: 7.221 8.495 7.187 Å, 126.23 90.00 90.00°
Sites, in units of the cell vectors:
Pr  0.250  0.730  0.461
Pr  0.750  0.270  0.539
Sm  0.250  0.998  0.995
Sm  0.750  0.002  0.005
Dy  0.750  0.725  0.449
Dy  0.250  0.275  0.551
Y  0.500  0.312  0.000
Y  0.000  0.688  0.000
Y  0.500  0.688  0.000
Y  0.000  0.312  0.000